Computed, not measured: a relaxed structure of Zn2InRhI at the GGA-PBE level of DFT.

Cell: 5.1945 6.1945 5.1945 Å, 90.00 90.00 90.00°
Element x y z (fractional)
1 Zn 0.5000 0.0000 0.0000
2 Zn 0.0000 0.0000 0.5000
3 Rh 0.5000 0.5000 0.5000
4 In 0.0000 0.5000 0.0000
5 I 0.0000 0.0000 0.0000

Properties
raw formation energy: 1.33 eV per atom